No. 1
# PBE ZrHg2Cl, relaxed
data_ZrHg2Cl
_cell_length_a 4.1716
_cell_length_b 4.1716
_cell_length_c 5.0521
_cell_angle_alpha 90.00
_cell_angle_beta 90.00
_cell_angle_gamma 90.00
_space_group_name_H-M_alt 'P 4/m m m'
_space_group_IT_number 123
_space_group_name_Hall '-P 4 2'
loop_
_atom_site_label
_atom_site_type_symbol
_atom_site_fract_x
_atom_site_fract_y
_atom_site_fract_z
_atom_site_occupancy
Zr1 Zr 0.0000 0.0000 0.0000 1
Hg1 Hg 0.0000 0.5000 0.5000 1
Cl1 Cl 0.5000 0.5000 0.0000 1
# * N(E_F): 3.66 states/eV/cell
# * crystal system: tetragonal
# * calculated total energy: -2.8176 eV/atom
# * total magnetization: 0.00 μB/atom
# * formation energy without anion corrections: -0.27 eV/f.u.


No. 2
# PBE K4Pa3PtS8, relaxed
data_K4Pa3PtS8
_cell_length_a 14.5982
_cell_length_b 7.5888
_cell_length_c 8.8451
_cell_angle_alpha 90.00
_cell_angle_beta 121.89
_cell_angle_gamma 90.00
_space_group_name_H-M_alt 'C 1 2/m 1'
_space_group_IT_number 12
loop_
_space_group_symop_operation_xyz
'x,y,z'
'-x,-y,-z'
'-x,y,-z'
'x,-y,z'
'x+1/2,y+1/2,z'
'-x+1/2,-y+1/2,-z'
'-x+1/2,y+1/2,-z'
'x+1/2,-y+1/2,z'
loop_
_atom_site_label
_atom_site_type_symbol
_atom_site_fract_x
_atom_site_fract_y
_atom_site_fract_z
_atom_site_occupancy
K1 K 0.0000 0.0000 0.0000 1
K2 K 0.0000 0.5000 0.0000 1
K3 K 0.2500 0.2500 0.0000 1
Pa1 Pa 0.0000 0.0000 0.5000 1
Pa2 Pa 0.2500 0.2500 0.5000 1
Pt1 Pt 0.0000 0.5000 0.5000 1
S1 S 0.0238 0.2659 0.3165 1
S2 S 0.2251 0.0000 0.7039 1
S3 S 0.2319 0.0000 0.2671 1
# * N(E_F): 29.21 states/eV/cell
# * crystal system: monoclinic
# * calculated total energy: -5.7784 eV/atom
# * total magnetization: 0.23 μB/atom
# * formation energy without anion corrections: -20.52 eV/f.u.


No. 3
# PBE Sb3MoH, relaxed
data_Sb3MoH
_cell_length_a 4.6431
_cell_length_b 4.6431
_cell_length_c 4.6431
_cell_angle_alpha 90.00
_cell_angle_beta 90.00
_cell_angle_gamma 90.00
_space_group_name_H-M_alt 'P m -3 m'
_space_group_IT_number 221
_space_group_name_Hall '-P 4 2 3'
loop_
_atom_site_label
_atom_site_type_symbol
_atom_site_fract_x
_atom_site_fract_y
_atom_site_fract_z
_atom_site_occupancy
Sb1 Sb 0.0000 0.0000 0.5000 1
Mo1 Mo 0.5000 0.5000 0.5000 1
H1 H 0.0000 0.0000 0.0000 1
# * N(E_F): 3.17 states/eV/cell
# * crystal system: cubic
# * calculated total energy: -4.5022 eV/atom
# * total magnetization: 0.55 μB/atom


No. 4
# PBE Yb3In, relaxed
data_Yb3In
_cell_length_a 7.8361
_cell_length_b 7.8361
_cell_length_c 7.8361
_cell_angle_alpha 90.00
_cell_angle_beta 90.00
_cell_angle_gamma 90.00
_space_group_name_H-M_alt 'F m -3 m'
_space_group_IT_number 225
_space_group_name_Hall '-F 4 2 3'
loop_
_atom_site_label
_atom_site_type_symbol
_atom_site_fract_x
_atom_site_fract_y
_atom_site_fract_z
_atom_site_occupancy
Yb1 Yb 0.0000 0.0000 0.0000 1
Yb2 Yb 0.2500 0.2500 0.2500 1
In1 In 0.0000 0.0000 0.5000 1
# * ΔH_f (0 K): -0.315 eV per atom
# * N(E_F): 148.80 states/eV/cell
# * crystal system: cubic
# * calculated total energy: -2.1440 eV/atom
# * total magnetization: 0.11 μB/atom


No. 5
# PBE CsSBr2, relaxed
data_CsSBr2
_cell_length_a 4.9600
_cell_length_b 5.1252
_cell_length_c 7.5569
_cell_angle_alpha 89.26
_cell_angle_beta 72.02
_cell_angle_gamma 89.97
_space_group_name_H-M_alt 'P 1'
_space_group_IT_number 1
loop_
_space_group_symop_operation_xyz
'x,y,z'
loop_
_atom_site_label
_atom_site_type_symbol
_atom_site_fract_x
_atom_site_fract_y
_atom_site_fract_z
_atom_site_occupancy
Cs1 Cs 0.0000 0.0000 0.0000 1
S1 S 0.5538 0.5020 0.8839 1
Br1 Br 0.3808 0.5050 0.6276 1
Br2 Br 0.3919 0.4977 0.2309 1
# * N(E_F): 2.25 states/eV/cell
# * crystal system: triclinic
# * calculated total energy: -2.7079 eV/atom
# * total magnetization: 0.00 μB/atom
# * formation energy without anion corrections: -2.50 eV/f.u.


No. 6
# PBE RbS2NO, relaxed
data_RbS2NO
_cell_length_a 4.0960
_cell_length_b 4.0960
_cell_length_c 5.8288
_cell_angle_alpha 90.00
_cell_angle_beta 90.00
_cell_angle_gamma 90.00
_space_group_name_H-M_alt 'P 4/m m m'
_space_group_IT_number 123
_space_group_name_Hall '-P 4 2'
loop_
_atom_site_label
_atom_site_type_symbol
_atom_site_fract_x
_atom_site_fract_y
_atom_site_fract_z
_atom_site_occupancy
Rb1 Rb 0.0000 0.0000 0.0000 1
S1 S 0.0000 0.5000 0.5000 1
N1 N 0.5000 0.5000 0.0000 1
O1 O 0.0000 0.0000 0.5000 1
# * N(E_F): 2.63 states/eV/cell
# * crystal system: tetragonal
# * calculated total energy: -3.5257 eV/atom
# * total magnetization: 0.65 μB/atom
# * formation energy without anion corrections: 4.88 eV/f.u.


No. 7
# PBE Mn3CdBi, relaxed
data_Mn3CdBi
_cell_length_a 4.9794
_cell_length_b 4.9794
_cell_length_c 4.9794
_cell_angle_alpha 90.00
_cell_angle_beta 90.00
_cell_angle_gamma 90.00
_space_group_name_H-M_alt 'P m -3 m'
_space_group_IT_number 221
_space_group_name_Hall '-P 4 2 3'
loop_
_atom_site_label
_atom_site_type_symbol
_atom_site_fract_x
_atom_site_fract_y
_atom_site_fract_z
_atom_site_occupancy
Mn1 Mn 0.0000 0.0000 0.5000 1
Cd1 Cd 0.0000 0.0000 0.0000 1
Bi1 Bi 0.5000 0.5000 0.5000 1
# * ΔH_f (0 K): 0.997 eV per atom
# * N(E_F): 1.13 states/eV/cell
# * crystal system: cubic
# * calculated total energy: -5.4642 eV/atom
# * total magnetization: 2.42 μB/atom


No. 8
# PBE TlZn2Cr, relaxed
data_TlZn2Cr
_cell_length_a 9.3433
_cell_length_b 3.4079
_cell_length_c 4.8091
_cell_angle_alpha 90.00
_cell_angle_beta 103.52
_cell_angle_gamma 90.00
_space_group_name_H-M_alt 'C 1 2/m 1'
_space_group_IT_number 12
loop_
_space_group_symop_operation_xyz
'x,y,z'
'-x,-y,-z'
'-x,y,-z'
'x,-y,z'
'x+1/2,y+1/2,z'
'-x+1/2,-y+1/2,-z'
'-x+1/2,y+1/2,-z'
'x+1/2,-y+1/2,z'
loop_
_atom_site_label
_atom_site_type_symbol
_atom_site_fract_x
_atom_site_fract_y
_atom_site_fract_z
_atom_site_occupancy
Tl1 Tl 0.0000 0.0000 0.0000 1
Zn1 Zn 0.2368 0.0000 0.7021 1
Cr1 Cr 0.0000 0.5000 0.5000 1
# * ΔH_f (0 K): 0.358 eV per atom
# * N(E_F): 3.48 states/eV/cell
# * crystal system: monoclinic
# * calculated total energy: -3.2761 eV/atom
# * total magnetization: 0.94 μB/atom


No. 9
# PBE Ca2La3Hg3, relaxed
data_Ca2La3Hg3
_cell_length_a 3.8750
_cell_length_b 5.6497
_cell_length_c 23.5269
_cell_angle_alpha 90.00
_cell_angle_beta 90.00
_cell_angle_gamma 90.00
_space_group_name_H-M_alt 'I m m m'
_space_group_IT_number 71
_space_group_name_Hall '-I 2 2'
loop_
_atom_site_label
_atom_site_type_symbol
_atom_site_fract_x
_atom_site_fract_y
_atom_site_fract_z
_atom_site_occupancy
Ca1 Ca 0.0000 0.0000 0.2255 1
La1 La 0.0000 0.0000 0.0000 1
La2 La 0.0000 0.5000 0.1158 1
Hg1 Hg 0.0000 0.0000 0.5000 1
Hg2 Hg 0.0000 0.5000 0.3824 1
# * ΔH_f (0 K): -0.349 eV per atom
# * N(E_F): 18.42 states/eV/cell
# * crystal system: orthorhombic
# * calculated total energy: -2.8108 eV/atom
# * total magnetization: 0.19 μB/atom


No. 10
# PBE TbZnPd4, relaxed
data_TbZnPd4
_cell_length_a 4.0481
_cell_length_b 12.5589
_cell_length_c 7.9746
_cell_angle_alpha 90.00
_cell_angle_beta 90.00
_cell_angle_gamma 90.00
_space_group_name_H-M_alt 'C m c m'
_space_group_IT_number 63
_space_group_name_Hall '-C 2c 2'
loop_
_atom_site_label
_atom_site_type_symbol
_atom_site_fract_x
_atom_site_fract_y
_atom_site_fract_z
_atom_site_occupancy
Tb1 Tb 0.0000 0.1613 0.2500 1
Zn1 Zn 0.0000 0.1441 0.7500 1
Pd1 Pd 0.0000 0.0000 0.0000 1
Pd2 Pd 0.0000 0.3347 0.0126 1
Pd3 Pd 0.0000 0.4984 0.2500 1
# * ΔH_f (0 K): -0.676 eV per atom
# * N(E_F): 8.38 states/eV/cell
# * crystal system: orthorhombic
# * calculated total energy: -5.1223 eV/atom
# * total magnetization: 0.00 μB/atom


No. 11
# PBE PaPbI2, relaxed
data_PaPbI2
_cell_length_a 3.7601
_cell_length_b 3.7601
_cell_length_c 34.8097
_cell_angle_alpha 90.00
_cell_angle_beta 90.00
_cell_angle_gamma 120.00
_space_group_name_H-M_alt 'R -3 m'
_space_group_IT_number 166
_space_group_name_Hall '-R 3 2"'
loop_
_atom_site_label
_atom_site_type_symbol
_atom_site_fract_x
_atom_site_fract_y
_atom_site_fract_z
_atom_site_occupancy
Pa1 Pa 0.0000 0.0000 0.0000 1
Pb1 Pb 0.0000 0.0000 0.5000 1
I1 I 0.0000 0.0000 0.0851 1
# * N(E_F): 21.20 states/eV/cell
# * crystal system: trigonal
# * calculated total energy: -3.9828 eV/atom
# * total magnetization: 0.41 μB/atom
# * formation energy without anion corrections: 0.37 eV/f.u.


No. 12
# PBE KMgSc2, relaxed
data_KMgSc2
_cell_length_a 3.8213
_cell_length_b 5.2016
_cell_length_c 11.8340
_cell_angle_alpha 90.00
_cell_angle_beta 90.00
_cell_angle_gamma 90.00
_space_group_name_H-M_alt 'C m m m'
_space_group_IT_number 65
_space_group_name_Hall '-C 2 2'
loop_
_atom_site_label
_atom_site_type_symbol
_atom_site_fract_x
_atom_site_fract_y
_atom_site_fract_z
_atom_site_occupancy
K1 K 0.0000 0.0000 0.0000 1
Mg1 Mg 0.0000 0.0000 0.5000 1
Sc1 Sc 0.0000 0.5000 0.2909 1
# * ΔH_f (0 K): 0.378 eV per atom
# * N(E_F): 12.98 states/eV/cell
# * crystal system: orthorhombic
# * calculated total energy: -3.4608 eV/atom
# * total magnetization: 0.00 μB/atom